{
  "formula": "La2ThCuSe5",
  "functional": "PBE-GGA",
  "state": "optimized geometry",
  "spacegroup": "Cmc2_1",
  "formation_energy_uncorrected_ev_per_atom": -1.64,
  "lattice_angstrom": [[4.0965, 0.0000, 0.0000], [-2.0482, 8.8347, 0.0000], [0.0000, 0.0000, 12.7679]],
  "species": ["Th", "Th", "Se", "Se", "Se", "Se", "Se", "Se", "Se", "Se", "Se", "Se", "La", "La", "La", "La", "Cu", "Cu"],
  "frac_coords": [[0.8209, 0.6418, 0.5254], [0.1791, 0.3582, 0.0254], [0.5054, 0.0108, 0.2504], [0.3126, 0.6251, 0.3579], [0.6874, 0.3749, 0.8579], [0.6546, 0.3093, 0.5208], [0.3454, 0.6907, 0.0208], [0.3034, 0.6068, 0.6916], [0.6966, 0.3932, 0.1916], [0.4946, 0.9892, 0.7504], [0.0175, 0.0350, 0.0142], [0.9825, 0.9650, 0.5142], [0.8867, 0.7733, 0.8470], [0.1133, 0.2267, 0.3470], [0.8831, 0.7661, 0.1965], [0.1169, 0.2339, 0.6965], [0.5541, 0.1083, 0.9203], [0.4459, 0.8917, 0.4203]]
}



{
  "formula": "Hf4MnOs",
  "functional": "PBE-GGA",
  "state": "optimized geometry",
  "e_form_mev_per_atom": -66.2,
  "spacegroup": "P4/mmm",
  "lattice_angstrom": [[4.4451, 0.0001, -0.0007], [-0.0001, 4.4457, -0.0007], [0.0041, 0.0066, 6.3089]],
  "species": ["Hf", "Hf", "Hf", "Hf", "Mn", "Os"],
  "frac_coords": [[0.5015, 0.9976, 0.7396], [0.0015, 0.4977, 0.7396], [0.0011, 0.4969, 0.2567], [0.5011, 0.9970, 0.2567], [0.0013, 0.9973, 0.4981], [0.5013, 0.4973, 0.9982]]
}



{
  "formula": "TbTmBe2Si2",
  "functional": "PBE-GGA",
  "state": "optimized geometry",
  "spacegroup": "P-3m1",
  "formation_energy_uncorrected_ev_per_atom": -0.65,
  "lattice_angstrom": [[-1.0569, -2.5615, -2.6845], [1.1907, -1.2149, 3.4628], [-7.5379, 0.2881, 2.6929]],
  "species": ["Be", "Be", "Tm", "Si", "Si", "Tb"],
  "frac_coords": [[0.3333, 0.6667, 0.7453], [0.6667, 0.3333, 0.2547], [0.0000, 0.0000, 0.5000], [0.3333, 0.6667, 0.2543], [0.6667, 0.3333, 0.7457], [0.0000, 0.0000, 0.0000]]
}



no.,volume (Å³/atom)
1,25.7
2,20.8
3,17.2